(1)
Entry from the Alexandria database: a relaxed Pr2Tl9Pb crystal (PBE).

abc: 4.928 4.928 14.533
angles: 90.00 90.00 90.00
Space group P4/mmm (No. 123)
Symmetry-distinct sites (fractional):
Pr (0.000, 0.000, 0.162)
Tl (0.000, 0.500, 0.000)
Tl (0.000, 0.500, 0.332)
Tl (0.500, 0.500, 0.163)
Tl (0.500, 0.500, 0.500)
Pb (0.000, 0.000, 0.500)

Density of states at the Fermi level: 7.98 states/eV per cell
DFT formation energy: -0.171 eV per atom
Raw total energy: -3.05 eV/atom

(2)
Entry from the Alexandria database: a relaxed NaYN2 crystal (PBE).

abc: 5.173 5.173 11.851
angles: 90.00 90.00 90.00
Space group I-42d (No. 122)
Symmetry-distinct sites (fractional):
Na (0.000, 0.000, 0.000)
Y (0.000, 0.000, 0.500)
N (0.209, 0.250, 0.625)

Formation energy from raw total energies: 0.23 eV per formula unit
Density of states at the Fermi level: 5.40 states/eV per cell
Distance to the lowest polymorph of the same formula: 9.7 kJ per mole of atoms
Raw total energy: -6.05 eV/atom

(3)
Entry from the Alexandria database: a relaxed HoPuCo5 crystal (PBE).

abc: 8.273 4.893 10.264
angles: 90.00 90.00 90.00
Space group Pnma (No. 62)
Symmetry-distinct sites (fractional):
Ho (0.243, 0.250, 0.068)
Pu (0.131, 0.250, 0.374)
Co (0.051, 0.250, 0.606)
Co (0.066, 0.750, 0.014)
Co (0.070, 0.001, 0.811)
Co (0.189, 0.750, 0.238)

Density of states at the Fermi level: 36.98 states/eV per cell
DFT formation energy: -0.130 eV per atom
Raw total energy: -7.91 eV/atom

(4)
Entry from the Alexandria database: a relaxed Tb2DyMg3 crystal (PBE).

abc: 3.801 3.801 11.341
angles: 90.00 90.00 90.00
Space group P4/mmm (No. 123)
Symmetry-distinct sites (fractional):
Tb (0.000, 0.000, 0.167)
Dy (0.000, 0.000, 0.500)
Mg (0.500, 0.500, 0.000)
Mg (0.500, 0.500, 0.334)

Density of states at the Fermi level: 8.31 states/eV per cell
DFT formation energy: -0.084 eV per atom
Raw total energy: -3.19 eV/atom

(5)
Entry from the Alexandria database: a relaxed FeTe2RhN crystal (PBE).

abc: 5.462 5.462 3.619
angles: 90.00 90.00 90.00
Space group P4/mmm (No. 123)
Symmetry-distinct sites (fractional):
Fe (0.000, 0.000, 0.000)
Te (0.000, 0.500, 0.500)
Rh (0.500, 0.500, 0.500)
N (0.500, 0.500, 0.000)

Formation energy from raw total energies: 3.47 eV per formula unit
Density of states at the Fermi level: 7.48 states/eV per cell
Distance to the lowest polymorph of the same formula: 40.5 kJ per mole of atoms
Raw total energy: -5.39 eV/atom

(6)
Entry from the Alexandria database: a relaxed CaHfCl2 crystal (PBE).

abc: 6.804 6.804 6.804
angles: 90.00 90.00 90.00
Space group Fm-3m (No. 225)
Symmetry-distinct sites (fractional):
Ca (0.000, 0.000, 0.000)
Hf (0.000, 0.000, 0.500)
Cl (0.250, 0.250, 0.250)

Formation energy from raw total energies: -1.75 eV per formula unit
Density of states at the Fermi level: 8.71 states/eV per cell
Distance to the lowest polymorph of the same formula: 48.5 kJ per mole of atoms
Raw total energy: -4.35 eV/atom

(7)
Entry from the Alexandria database: a relaxed CeTmIn crystal (PBE).

abc: 3.714 3.991 10.931
angles: 90.00 92.40 90.00
Space group P2_1/m (No. 11)
Symmetry-distinct sites (fractional):
Ce (0.172, 0.250, 0.066)
Tm (0.240, 0.250, 0.405)
In (0.292, 0.250, 0.754)

Density of states at the Fermi level: 10.63 states/eV per cell
DFT formation energy: -0.271 eV per atom
Distance to the lowest polymorph of the same formula: 0.0 kJ per mole of atoms
Raw total energy: -4.65 eV/atom

(8)
Entry from the Alexandria database: a relaxed Zn2SeF crystal (PBE).

abc: 5.192 5.192 11.852
angles: 90.00 90.00 90.00
Space group I-42d (No. 122)
Symmetry-distinct sites (fractional):
Zn (0.203, 0.250, 0.125)
Se (0.000, 0.000, 0.500)
F (0.000, 0.000, 0.000)

Formation energy from raw total energies: -3.38 eV per formula unit
Density of states at the Fermi level: 6.93 states/eV per cell
Distance to the lowest polymorph of the same formula: 0.0 kJ per mole of atoms
Raw total energy: -2.82 eV/atom

no.,size of the total moment (μB/cell)
1,0.00
2,8.00
3,2.01
4,0.00
5,3.19
6,0.00
7,1.40
8,0.00